! FeP2O7 | Alexandria via LeMat-Bulk | PBE+U | optimized geometry; values from VASP
&SYSTEM
  ibrav = 0, nat = 20, ntyp = 3
/
ATOMIC_SPECIES
Fe 55.84 Fe.upf
P 30.97 P.upf
O 16.00 O.upf
CELL_PARAMETERS angstrom
3.390 -4.432 0.000
3.390 4.432 0.000
-1.105 0.000 9.037
ATOMIC_POSITIONS crystal
Fe 0.171 0.829 0.500
Fe 0.829 0.171 0.000
P 0.267 0.318 0.306
P 0.318 0.267 0.806
P 0.670 0.732 0.695
P 0.732 0.670 0.195
O 0.060 0.208 0.181
O 0.111 0.334 0.886
O 0.205 0.513 0.411
O 0.208 0.060 0.681
O 0.334 0.111 0.386
O 0.445 0.503 0.725
O 0.503 0.445 0.225
O 0.513 0.205 0.911
O 0.541 0.876 0.591
O 0.635 0.862 0.115
O 0.777 0.879 0.843
O 0.862 0.635 0.615
O 0.876 0.541 0.091
O 0.879 0.777 0.343
! SG: No. 9
! E: -6.8896 eV/atom
! Total moment: 12.1 μB/cell
! Excess energy over the best structure of this formula in the dataset: 66 meV per atom